VASP calculation (PBE) on a geometry-optimized LaTa2PtN structure.

Unit cell a=4.2141 b=5.1216 c=4.2141 alpha=90.00 beta=90.00 gamma=90.00
With the nearest neighbours (Å) after each atom.
Fractional coordinates of all 5 atoms:
Ta (0.5000, 0.0000, 0.0000)  2 N 2.11
Ta (0.0000, 0.0000, 0.5000)  2 N 2.11
La (0.0000, 0.5000, 0.0000)  2 N 2.56
Pt (0.5000, 0.5000, 0.5000)  4 La 2.98, 8 Ta 3.32
N (0.0000, 0.0000, 0.0000)  4 Ta 2.11

Output
SG: No. 123
DFT total energy, eV per atom: -9.11
Formation energy (no corrections), eV/atom: -0.513